A geometry-optimized LiZrSi structure, computed with GGA-PBEsol.

The uncorrected formation energy comes out at -0.23 eV per atom. Its calculated density is 4.3 g cm⁻³. Its uncorrected energy is -34.996 eV/cell. For the magnetization, the calculation gives 0.00 μB/cell.

It has space group Imm2 (No. 44), with a = 2.770 Å, b = 3.686 Å, c = 9.628 Å, α = 90.00°, β = 90.00° and γ = 90.00°. Symmetry generates all atoms from Li at (0.000, 0.000, 0.000), Zr at (0.000, 0.000, 0.292) and Si at (0.000, 0.000, 0.622).